Version A
A geometry-optimized LiH structure. Source: Alexandria via LeMat-Bulk, functional GGA-PBE.

Computed properties:
- Space-group type: P6_3/m, No. 176

a b c (Å): 7.1358 7.1358 3.1418
angles (deg): 90.00 90.00 120.00
Closest atoms and distances in Å follow each position.
Positions (direct):
Li  0.9226  0.3286  0.2500  4 H 1.79-1.91
Li  0.5940  0.9226  0.7500  4 H 1.79-1.91
Li  0.6714  0.5940  0.2500  4 H 1.79-1.91
Li  0.0774  0.6714  0.7500  4 H 1.79-1.91
Li  0.4060  0.0774  0.2500  4 H 1.79-1.91
Li  0.3286  0.4060  0.7500  4 H 1.79-1.91
H  0.6731  0.0774  0.2500  4 Li 1.79-1.91
H  0.5957  0.6731  0.7500  4 Li 1.79-1.91
H  0.9226  0.5957  0.2500  4 Li 1.79-1.91
H  0.3269  0.9226  0.7500  4 Li 1.79-1.91
H  0.4043  0.3269  0.2500  4 Li 1.79-1.91
H  0.0774  0.4043  0.7500  4 Li 1.79-1.91

Version B
A geometry-optimized LiH structure. Source: Alexandria via LeMat-Bulk, functional GGA-PBE.

Computed properties:
- Space-group type: P6_3/mmc, No. 194

a b c (Å): 2.7627 2.7627 4.8557
angles (deg): 90.00 90.00 120.00
Closest atoms and distances in Å follow each position.
Positions (direct):
Li  0.0000  0.0000  0.0000  6 H 2.00
Li  0.0000  0.0000  0.5000  6 H 2.00
H  0.3333  0.6667  0.7500  6 Li 2.00
H  0.6667  0.3333  0.2500  6 Li 2.00

Stability order, top to bottom: version B, version A

Version A
A geometry-optimized LiMgH structure. Source: Alexandria via LeMat-Bulk, functional GGA-PBE.

Computed properties:
- Space-group type: Pmn2_1, No. 31

a b c (Å): 3.1379 5.2002 5.3513
angles (deg): 90.00 90.00 90.00
Closest atoms and distances in Å follow each position.
Positions (direct):
Li  0.0000  0.0251  0.4363  3 H 1.85-1.87
Li  0.5000  0.9749  0.9363  3 H 1.85-1.87
Mg  0.0000  0.4610  0.7904  1 H 1.99
Mg  0.5000  0.5390  0.2904  1 H 1.99
H  0.0000  0.0782  0.7817  3 Li 1.85-1.87, 1 Mg 1.99
H  0.5000  0.9218  0.2817  3 Li 1.85-1.87, 1 Mg 1.99

Version B
A geometry-optimized LiMgH structure. Source: Alexandria via LeMat-Bulk, functional GGA-PBE.

Computed properties:
- Space-group type: Cm, No. 8

a b c (Å): 10.0606 3.1445 5.4285
angles (deg): 90.00 89.96 90.00
Closest atoms and distances in Å follow each position.
Positions (direct):
Li  0.4459  0.0000  0.4392  3 H 1.87
Li  0.4459  0.5000  0.9392  3 H 1.87
Li  0.2127  0.0000  0.1052  4 H 1.86-1.88
Li  0.2127  0.5000  0.6052  4 H 1.86-1.88
Mg  0.9642  0.0000  0.4388  1 H 2.06
Mg  0.9642  0.5000  0.9388  1 H 2.06
Mg  0.7083  0.0000  0.1072  1 H 3.10, 9 Mg 3.14-3.15, 3 Li 3.20-3.21
Mg  0.7083  0.5000  0.6072  1 H 3.10, 9 Mg 3.14-3.15, 3 Li 3.20-3.21
H  0.1686  0.0000  0.4384  3 Li 1.86-1.87, 1 Mg 2.06
H  0.1686  0.5000  0.9384  3 Li 1.86-1.87, 1 Mg 2.06
H  0.4001  0.0000  0.1055  4 Li 1.87-1.88
H  0.4001  0.5000  0.6055  4 Li 1.87-1.88

Stability order, top to bottom: version B, version A

Version A
A geometry-optimized LiMgH structure. Source: Alexandria via LeMat-Bulk, functional GGA-PBE.

Computed properties:
- Space-group type: P1, No. 1

a b c (Å): 3.0703 3.0793 10.3160
angles (deg): 90.03 90.00 120.00
Closest atoms and distances in Å follow each position.
Positions (direct):
Li  0.4551  0.8825  0.5507  3 H 1.94
Li  0.1227  0.2195  0.7725  3 H 1.89-1.90
Mg  0.4487  0.8808  0.0283  1 H 1.98
Mg  0.1266  0.2222  0.2850  9 Mg 3.07-3.20, 3 Li 3.26-3.27
H  0.4545  0.8846  0.8365  3 Li 1.89-1.90, 1 Mg 1.98
H  0.7873  0.5483  0.6273  3 Li 1.94

Version B
A geometry-optimized LiMgH structure. Source: Alexandria via LeMat-Bulk, functional GGA-PBE.

Computed properties:
- Space-group type: R3m, No. 160

a b c (Å): 3.1538 3.1538 29.8775
angles (deg): 90.00 90.00 120.00
Closest atoms and distances in Å follow each position.
Positions (direct):
Li  0.0000  0.0000  0.5640  3 H 1.88
Li  0.3333  0.6667  0.2307  3 H 1.88
Li  0.6667  0.3333  0.8973  3 H 1.88
Li  0.0000  0.0000  0.3092  4 H 1.88
Li  0.3333  0.6667  0.9759  4 H 1.88
Li  0.6667  0.3333  0.6425  4 H 1.88
Mg  0.0000  0.0000  0.7256  1 H 2.03
Mg  0.3333  0.6667  0.3923  1 H 2.03
Mg  0.6667  0.3333  0.0590  1 H 2.03
Mg  0.0000  0.0000  0.1434  1 H 3.08, 9 Mg 3.11-3.15, 3 Li 3.18
Mg  0.3333  0.6667  0.8100  1 H 3.08, 9 Mg 3.11-3.15, 3 Li 3.18
Mg  0.6667  0.3333  0.4767  1 H 3.08, 9 Mg 3.11-3.15, 3 Li 3.18
H  0.0000  0.0000  0.6578  3 Li 1.88, 1 Mg 2.03
H  0.3333  0.6667  0.3245  3 Li 1.88, 1 Mg 2.03
H  0.6667  0.3333  0.9911  3 Li 1.88, 1 Mg 2.03
H  0.0000  0.0000  0.2464  4 Li 1.88
H  0.3333  0.6667  0.9131  4 Li 1.88
H  0.6667  0.3333  0.5798  4 Li 1.88

Stability order, top to bottom: version B, version A

Version A
A geometry-optimized LiMgH2 structure. Source: Alexandria via LeMat-Bulk, functional GGA-PBE.

Computed properties:
- Space-group type: P3_121, No. 152

a b c (Å): 5.2413 5.2413 5.8276
angles (deg): 90.00 90.00 120.00
Closest atoms and distances in Å follow each position.
Positions (direct):
Li  0.3409  0.3409  0.0000  2 H 1.84
Li  0.0000  0.6591  0.6667  2 H 1.84
Li  0.6591  0.0000  0.3333  2 H 1.84
Mg  0.2861  0.2861  0.5000  4 H 1.91-2.04
Mg  0.0000  0.7139  0.1667  4 H 1.91-2.04
Mg  0.7139  0.0000  0.8333  4 H 1.91-2.04
H  0.9191  0.4335  0.9281  1 Li 1.84, 2 Mg 1.91-2.04
H  0.5144  0.0809  0.5947  1 Li 1.84, 2 Mg 1.91-2.04
H  0.5665  0.4856  0.2614  1 Li 1.84, 2 Mg 1.91-2.04
H  0.4335  0.9191  0.0719  1 Li 1.84, 2 Mg 1.91-2.04
H  0.0809  0.5144  0.4053  1 Li 1.84, 2 Mg 1.91-2.04
H  0.4856  0.5665  0.7386  1 Li 1.84, 2 Mg 1.91-2.04

Version B
A geometry-optimized LiMgH2 structure. Source: Alexandria via LeMat-Bulk, functional GGA-PBE.

Computed properties:
- Space-group type: R-3m, No. 166

a b c (Å): 3.1734 3.1734 5.0616
angles (deg): 71.73 71.73 60.00
Closest atoms and distances in Å follow each position.
Positions (direct):
H  0.2475  0.2475  0.2575  3 Mg 2.16, 3 Li 2.20
H  0.7525  0.7525  0.7425  3 Mg 2.16, 3 Li 2.20
Mg  0.5000  0.5000  0.5000  6 H 2.16
Li  0.0000  0.0000  0.0000  6 H 2.20

Version C
A geometry-optimized LiMgH2 structure. Source: Alexandria via LeMat-Bulk, functional GGA-PBE.

Computed properties:
- Space-group type: R3m, No. 160

a b c (Å): 3.1270 3.1270 5.3316
angles (deg): 72.95 72.95 60.00
Closest atoms and distances in Å follow each position.
Positions (direct):
Li  0.4936  0.4936  0.5193  6 H 2.22-2.35
Mg  0.6716  0.6716  0.9851  6 H 2.08-2.15
H  0.0742  0.0742  0.7774  3 Mg 2.08, 3 Li 2.22
H  0.2606  0.2606  0.2183  3 Mg 2.15, 3 Li 2.35

Version D
A geometry-optimized LiMgH2 structure. Source: Alexandria via LeMat-Bulk, functional GGA-PBE.

Computed properties:
- Space-group type: I-42d, No. 122

a b c (Å): 4.4928 4.4928 5.5577
angles (deg): 66.16 66.16 90.00
Closest atoms and distances in Å follow each position.
Positions (direct):
H  0.6162  0.1250  0.2500  2 Li 1.93, 2 Mg 1.98
H  0.1338  0.6250  0.2500  2 Li 1.93, 2 Mg 1.98
H  0.3750  0.3838  0.7500  2 Li 1.93, 2 Mg 1.98
H  0.8750  0.8662  0.7500  2 Li 1.93, 2 Mg 1.98
Mg  0.0000  0.0000  0.0000  4 H 1.98
Mg  0.7500  0.2500  0.5000  4 H 1.98
Li  0.5000  0.5000  0.0000  4 H 1.93
Li  0.2500  0.7500  0.5000  4 H 1.93

Stability order, top to bottom: version A, version D, version B, version C

Version A
A geometry-optimized Li2MgH6 structure. Source: Alexandria via LeMat-Bulk, functional GGA-PBE.

Computed properties:
- Space-group type: Fm-3m, No. 225

a b c (Å): 4.5963 4.5963 4.5963
angles (deg): 60.00 60.00 60.00
Closest atoms and distances in Å follow each position.
Positions (direct):
H  0.2952  0.7048  0.2952  4 H 1.88, 1 Mg 1.92
H  0.7048  0.2952  0.2952  4 H 1.88, 1 Mg 1.92
H  0.2952  0.7048  0.7048  4 H 1.88, 1 Mg 1.92
H  0.7048  0.2952  0.7048  4 H 1.88, 1 Mg 1.92
H  0.7048  0.7048  0.2952  4 H 1.88, 1 Mg 1.92
H  0.2952  0.2952  0.7048  4 H 1.88, 1 Mg 1.92
Mg  0.0000  0.0000  0.0000  6 H 1.92
Li  0.7500  0.7500  0.7500  12 H 2.32
Li  0.2500  0.2500  0.2500  12 H 2.32

Version B
A geometry-optimized Li2MgH6 structure. Source: Alexandria via LeMat-Bulk, functional GGA-PBE.

Computed properties:
- Space-group type: C2/m, No. 12

a b c (Å): 3.2814 4.6788 5.7116
angles (deg): 114.18 104.27 90.00
Closest atoms and distances in Å follow each position.
Positions (direct):
Li  0.6050  0.6404  0.2808  6 H 1.85-1.94
Li  0.3950  0.3596  0.7192  6 H 1.85-1.94
Mg  0.0000  0.0000  0.0000  4 H 2.00
H  0.0683  0.4576  0.4334  1 H 0.93
H  0.9317  0.0242  0.5666  1 H 0.93
H  0.9317  0.5424  0.5666  1 H 0.93
H  0.5000  0.2448  0.0000  2 Li 1.85, 2 Mg 2.00
H  0.0683  0.9758  0.4334  1 H 0.93
H  0.5000  0.7552  0.0000  2 Li 1.85, 2 Mg 2.00

Stability order, top to bottom: version B, version A

Version A
A geometry-optimized LiMg2H4 structure. Source: Alexandria via LeMat-Bulk, functional GGA-PBE.

Computed properties:
- Space-group type: I4/mmm, No. 139

a b c (Å): 3.3807 3.3807 5.9912
angles (deg): 73.61 73.61 90.00
Closest atoms and distances in Å follow each position.
Positions (direct):
H  0.8244  0.8244  0.3511  1 Li 1.93, 1 Mg 1.99
H  0.1756  0.1756  0.6489  1 Li 1.93, 1 Mg 1.99
H  0.0000  0.5000  0.0000  2 Li 1.69
H  0.5000  0.0000  0.0000  2 Li 1.69
Mg  0.6437  0.6437  0.7126  1 H 1.99
Mg  0.3563  0.3563  0.2874  1 H 1.99
Li  0.0000  0.0000  0.0000  4 H 1.69

Version B
A geometry-optimized LiMg2H4 structure. Source: Alexandria via LeMat-Bulk, functional GGA-PBE.

Computed properties:
- Space-group type: C2/m, No. 12

a b c (Å): 2.9269 5.3970 5.3983
angles (deg): 118.46 105.73 90.00
Closest atoms and distances in Å follow each position.
Positions (direct):
Li  0.0000  0.0000  0.0000  2 H 1.83
Mg  0.6875  0.6973  0.3751  6 H 2.00-2.18
Mg  0.3125  0.3027  0.6249  6 H 2.00-2.18
H  0.8568  0.1034  0.7136  1 Li 1.83, 3 Mg 2.00-2.02
H  0.1432  0.8966  0.2864  1 Li 1.83, 3 Mg 2.00-2.02
H  0.6551  0.2929  0.3102  3 Mg 2.04-2.18, 2 Li 2.17
H  0.3449  0.7071  0.6898  3 Mg 2.04-2.18, 2 Li 2.17

Stability order, top to bottom: version B, version A